Record 1
A geometry-optimized Li2CrTeO6 structure. Source: the Alexandria database, functional PBE+U.

Summary:
The total magnetization is 2.0 μB per formula unit. The total energy comes out at -59.27 eV/cell.

POSCAR file:
```
Li2CrTeO6
1.0
2.5447 1.4692 4.4505
-2.5447 1.4692 4.4505
0.0000 -2.9384 4.4505
Li Cr Te O
2 1 1 6
Cartesian
0.0000 0.0000 0.0000
0.0000 0.0000 6.6020
0.0000 0.0000 3.7606
0.0000 0.0000 10.4490
-1.5530 -0.1565 4.9829
-0.9850 -1.6319 7.1917
0.9120 -1.2667 4.9829
-0.9208 1.6690 7.1917
0.6410 1.4232 4.9829
1.9057 -0.0371 7.1917
```

=====

Record 2
A geometry-optimized Li2CrTeO6 structure. Source: the Alexandria database, functional PBE+U.

Summary:
The total magnetization is 2.0 μB per formula unit. The total energy comes out at -57.63 eV/cell.

POSCAR file:
```
Li2CrTeO6
1.0
5.4887 0.0000 0.0000
0.0000 5.4887 0.0000
0.0000 0.0000 3.8759
Li Cr Te O
2 1 1 6
Cartesian
0.0000 2.7444 0.0000
2.7444 0.0000 0.0000
0.0000 0.0000 2.8224
2.7444 2.7444 2.9236
0.0000 0.0000 1.0547
1.3923 1.3923 3.1377
1.3923 4.0964 3.1377
2.7444 2.7444 1.0375
4.0964 1.3923 3.1377
4.0964 4.0964 3.1377
```

=====

Record 3
A geometry-optimized Li2Cr3TeO8 structure. Source: the Alexandria database, functional PBE+U.

Summary:
The total magnetization is 8.0 μB per formula unit. The total energy comes out at -94.03 eV/cell.

POSCAR file:
```
Li2Cr3TeO8
1.0
3.0091 1.7373 5.0860
-3.0091 1.7373 5.0860
0.0000 -3.4746 5.0860
Li Cr Te O
2 3 1 8
Cartesian
0.0000 0.0000 1.9873
0.0000 0.0000 13.2708
-1.5046 -0.8687 5.0860
-1.5046 0.8687 10.1721
0.0000 1.7373 5.0860
0.0000 0.0000 7.6291
0.0000 -1.5911 6.2681
-1.3779 0.7956 6.2681
0.0000 0.0000 4.0578
-1.3779 -0.7956 8.9900
1.3779 0.7956 6.2681
0.0000 0.0000 11.2003
1.3779 -0.7956 8.9900
0.0000 1.5911 8.9900
```

=====

Record 4
A geometry-optimized LiCr2TeO6 structure. Source: the Alexandria database, functional PBE+U.

Summary:
The total magnetization is 5.0 μB per formula unit. The total energy comes out at -65.80 eV/cell.

POSCAR file:
```
LiCr2TeO6
1.0
2.6314 1.5192 4.6075
-2.6314 1.5192 4.6075
0.0000 -3.0385 4.6075
Li Cr Te O
1 2 1 6
Cartesian
0.0000 0.0000 0.0000
0.0000 0.0000 2.9445
0.0000 0.0000 9.9148
0.0000 0.0000 7.0903
-0.9143 -1.7397 6.2899
-1.5091 0.1367 8.4943
-1.0495 1.6617 6.2899
0.6361 -1.3753 8.4943
1.9638 0.0780 6.2899
0.8730 1.2386 8.4943
```

=====

Record 5
A geometry-optimized Li4Ti3Cr3Te2O16 structure. Source: the Alexandria database, functional PBE+U.

Summary:
The total magnetization is 10.0 μB per formula unit. The total energy comes out at -198.85 eV/cell.

POSCAR file:
```
Li4Ti3Cr3Te2O16
1.0
5.3183 -2.9919 0.0000
5.3183 2.9919 0.0000
-0.0380 0.0000 10.1662
Li Ti Cr Te O
4 3 3 2 16
Cartesian
0.0000 0.0000 0.0000
0.1200 0.0000 5.0659
3.6697 0.0000 0.9192
7.1541 0.0000 5.9425
4.3618 1.5083 7.7902
4.3618 -1.5083 7.7902
8.8771 0.0000 2.6856
1.8357 0.0000 7.9123
6.3548 1.4926 2.8284
6.3548 -1.4926 2.8284
3.7171 0.0000 4.9727
6.9091 0.0000 10.1193
0.0625 0.0000 1.8876
0.0737 0.0000 6.9265
2.9167 1.4779 6.6565
1.7538 0.0000 3.9544
4.6311 1.5268 3.9664
6.0577 1.4754 9.1652
3.6474 0.0000 8.8868
5.2106 0.0000 6.6394
2.9167 -1.4779 6.6565
8.0783 1.3890 1.7263
5.6407 0.0000 1.5397
7.2749 0.0000 3.8548
4.6311 -1.5268 3.9664
6.0577 -1.4754 9.1652
9.0826 0.0000 8.8938
8.0783 -1.3890 1.7263
```

=====

Record 6
A geometry-optimized Li4V3Cr3Te2O16 structure. Source: the Alexandria database, functional PBE+U.

Summary:
The total magnetization is 13.0 μB per formula unit. The total energy comes out at -189.28 eV/cell.

POSCAR file:
```
Li4V3Cr3Te2O16
1.0
5.9950 0.0000 0.0000
2.9196 5.2691 0.0000
0.0571 -0.0285 9.9820
Li V Cr Te O
4 3 3 2 16
Cartesian
0.0000 0.0000 0.0000
0.0864 0.0506 5.0031
3.0756 1.7448 9.0741
6.0341 3.5418 4.1032
1.5615 0.8704 2.2342
4.5286 0.9023 2.2337
6.0823 1.7952 7.2238
3.0044 3.4911 2.2191
4.5636 4.3879 7.2043
7.5435 4.3752 7.2232
3.0262 1.8633 4.9741
5.9913 3.5686 9.9536
2.9735 5.2362 3.1809
0.1486 0.0056 8.1677
1.7150 2.5554 3.5389
3.0276 3.6525 6.0204
1.5124 0.8771 6.0610
4.3879 4.4425 0.9885
3.0328 1.7702 1.1959
4.4174 2.5757 3.3494
3.1276 0.1707 3.3538
4.6922 2.7233 8.3675
6.0469 5.0531 8.4970
6.0349 3.5037 6.1774
4.7778 0.8537 6.2043
7.5198 4.4674 1.1095
5.9485 1.5620 1.1712
7.4216 2.6340 8.3007
```

=====

Record 7
A geometry-optimized Li4V2CrTeO12 structure. Source: the Alexandria database, functional PBE+U.

Summary:
The total magnetization is 2.0 μB per formula unit. The total energy comes out at -126.61 eV/cell.

POSCAR file:
```
Li4V2CrTeO12
1.0
5.0604 0.0000 0.0000
0.0224 5.3198 0.0000
0.0361 0.5216 7.3178
Li V Cr Te O
4 2 1 1 12
Cartesian
0.0000 0.0000 0.0000
0.0649 5.4636 3.7875
2.5429 2.9963 7.2544
2.5861 2.8357 3.8471
0.0540 2.3308 1.6335
2.5964 5.2868 5.3103
5.0794 2.6465 5.2996
2.5735 4.9418 1.6316
0.5930 2.5722 7.1589
0.9262 0.5512 2.0486
1.0689 4.0312 4.8285
1.5610 1.3269 4.8553
1.6561 3.2226 2.0338
1.9589 5.1812 7.1058
3.2287 4.9239 3.4280
3.5208 3.4868 5.6201
3.5276 1.1472 1.0347
4.0889 0.8078 5.6026
4.1222 3.8256 1.0692
4.5280 2.3249 3.3075
```

=====

Record 8
A geometry-optimized Li4VCrTe2O12 structure. Source: the Alexandria database, functional PBE+U.

Summary:
The total magnetization is 3.0 μB per formula unit. The total energy comes out at -120.43 eV/cell.

POSCAR file:
```
Li4VCrTe2O12
1.0
5.1031 0.0000 0.0000
-0.0202 5.3713 0.0000
-0.0015 -0.5005 7.4157
Li V Cr Te O
4 1 1 2 12
Cartesian
0.0000 0.0000 0.0000
0.0023 -0.1819 3.7760
2.5227 2.3844 3.8256
2.5534 2.2572 7.3417
-0.0034 2.9350 1.6668
2.5507 0.0588 5.3052
0.0206 2.7686 5.3619
2.5366 0.2739 1.5855
0.6336 2.7542 7.1932
0.8759 4.7228 2.0060
0.9606 1.2166 4.7550
1.5124 3.8225 4.7312
1.5525 2.0483 2.0034
1.9070 0.1150 7.2185
3.1940 0.3482 3.3666
3.4780 1.8400 5.6530
3.5499 4.1320 1.0189
4.1082 1.4922 1.0759
4.2333 4.4635 5.6428
4.4673 2.9670 3.3301
```

=====

Record 9
A geometry-optimized Li4CrTeW2O12 structure. Source: the Alexandria database, functional PBE+U.

Summary:
The total magnetization is 3.0 μB per formula unit. The total energy comes out at -129.34 eV/cell.

POSCAR file:
```
Li4CrTeW2O12
1.0
5.1851 0.0000 0.0000
-0.0012 5.4719 0.0000
-0.0093 -0.5567 7.5230
Li Cr Te W O
4 1 1 2 12
Cartesian
0.0000 0.0000 0.0000
0.0383 -0.2300 3.4857
2.5723 2.3905 7.4843
2.6442 3.3453 3.0030
0.0335 3.0964 1.4617
2.5941 0.0932 5.2727
2.6374 0.4179 1.4923
5.1745 2.8036 5.2276
0.6255 2.7646 7.0301
0.8800 1.1585 4.7303
1.0767 4.7950 1.8767
1.6032 3.9033 4.6805
1.6938 2.0468 1.8618
1.9035 0.0035 7.1439
3.2876 0.2161 3.3383
3.5384 1.8846 5.7332
3.6142 4.2634 1.0340
4.1708 1.4498 0.9915
4.2903 4.5587 5.6995
4.6017 3.0688 3.4052
```

=====

Record 10
A geometry-optimized Li4CrTeW2O12 structure. Source: the Alexandria database, functional PBE+U.

Summary:
The total magnetization is 3.0 μB per formula unit. The total energy comes out at -258.87 eV/cell.

POSCAR file:
```
Li4CrTeW2O12
1.0
5.1845 0.0000 0.0000
0.0026 5.4929 0.0000
0.0524 1.1950 15.1052
Li Cr Te W O
8 2 2 4 24
Cartesian
0.0000 0.0000 0.0000
0.0397 0.8102 7.6207
0.0707 0.3605 3.4873
0.1237 6.3468 11.0722
2.6311 4.3255 8.1019
2.6203 3.3696 0.3201
2.6610 3.1991 3.4747
2.7099 4.0225 11.1615
0.0448 3.9925 9.5918
0.0495 3.4369 2.0382
2.6593 1.5061 13.3158
2.6732 0.9890 5.7828
0.0892 3.7126 5.8147
0.1303 4.2653 13.3713
2.5810 0.7130 1.9953
2.6739 1.3238 9.5834
0.6479 3.8965 7.6172
0.6725 3.4967 0.1094
0.9563 6.1289 12.8843
1.0888 2.3148 9.9825
1.0726 5.4078 5.3259
1.1100 1.8166 2.5836
1.6447 5.1739 9.9198
1.6311 4.6285 2.5642
1.6896 2.6576 5.3274
1.7437 3.5548 12.7922
1.9216 0.5904 0.2505
2.0012 1.0813 7.5882
3.3420 0.9238 4.0086
3.3846 1.3793 11.3352
3.5763 2.9347 9.1282
3.5780 2.3620 1.7252
3.6657 5.3903 13.9356
3.6976 4.8911 6.3531
4.1722 5.6663 9.0909
4.1812 5.1590 1.7158
4.2627 2.0870 6.3277
4.5586 2.7057 13.9816
4.6273 4.2604 11.5402
4.6391 3.6667 4.0485
```

=====

Record 11
A geometry-optimized Li6Ti7Cr5O24 structure. Source: the Alexandria database, functional PBE+U.

Summary:
The total magnetization is 13.9 μB per formula unit. The total energy comes out at -330.48 eV/cell.

POSCAR file:
```
Li6Ti7Cr5O24
1.0
5.9559 0.0000 0.0000
0.0135 5.9839 0.0000
2.9566 2.9446 12.6580
Li Ti Cr O
6 7 5 24
Cartesian
1.4880 2.9613 5.2913
4.4561 2.9692 11.6116
4.4762 5.9523 9.5015
4.4498 2.9762 3.1565
4.4699 5.9593 1.0464
7.4380 5.9671 7.3667
0.0068 2.9919 0.0000
2.9878 2.9711 8.4278
1.5199 4.4754 2.0967
2.9728 5.9817 4.2547
5.9532 2.9468 8.4033
7.4061 4.4531 10.5613
5.9382 5.9574 4.2302
1.4657 1.4890 2.1115
4.4563 1.4723 6.3290
2.9847 2.9919 0.0000
4.4630 4.4642 6.3290
7.4603 7.4395 10.5465
2.8394 5.9120 10.6677
2.8261 2.9872 10.4217
1.4706 1.3053 4.1403
1.4845 4.6140 4.1123
1.4622 1.6632 0.1024
1.4715 4.3537 0.1156
3.1046 2.9710 6.4716
3.1073 5.9626 6.1952
2.8271 5.9455 2.2296
2.8048 3.0079 2.0203
4.4689 4.2983 8.3589
4.4778 7.6114 8.3616
4.4482 1.3171 4.2964
4.4571 4.6302 4.2991
6.1212 5.9206 10.6377
6.0989 2.9829 10.4284
5.8187 2.9659 6.4628
5.8214 5.9575 6.1864
7.4545 4.5748 12.5424
7.4638 7.2652 12.5557
7.4415 4.3145 8.5457
7.4554 7.6232 8.5177
6.0999 5.9413 2.2363
6.0866 3.0165 1.9903
```

=====

Record 12
A geometry-optimized Li2TiCrO4 structure. Source: the Alexandria database, functional PBE+U.

Summary:
The total magnetization is 3.0 μB per formula unit. The total energy comes out at -230.40 eV/cell.

POSCAR file:
```
Li2TiCrO4
1.0
4.1910 -4.1739 0.0000
4.1910 4.1739 0.0000
-0.2523 0.0000 8.7550
Li Ti Cr O
8 4 4 16
Cartesian
1.0005 0.0000 1.1676
2.9808 2.0919 5.4746
3.0547 0.0599 3.3561
5.1488 2.0919 3.2804
5.0749 0.0599 5.3990
3.0985 -2.0655 1.1789
5.0311 -2.0655 7.5761
7.1291 0.0000 7.5875
0.8975 -0.0322 5.4423
2.9442 0.0591 7.6529
5.1855 0.0591 1.1022
7.2321 -0.0322 3.3127
3.0760 2.0960 1.1102
5.0536 2.0960 7.6448
3.0030 -2.0552 5.4415
5.1266 -2.0552 3.3136
2.9539 2.2131 3.4264
0.8986 0.0941 3.3695
0.9014 0.0037 7.4932
2.9734 1.9715 7.5277
5.1757 2.2131 5.3286
2.9547 -0.0390 5.5355
3.1346 0.0088 0.9445
5.1562 1.9715 1.2273
2.9334 -1.9762 7.4799
4.9950 0.0088 7.8105
5.1749 -0.0390 3.2195
3.1071 -2.1450 3.3935
5.1963 -1.9762 1.2751
7.2282 0.0037 1.2618
7.2311 0.0941 5.3856
5.0225 -2.1450 5.3615
```